No. 1
A plane-wave DFT calculation with PBE-GGA was carried out for SnPtNO after structural relaxation.

```
data_SnPtNO
_cell_length_a 3.595
_cell_length_b 6.712
_cell_length_c 5.216
_cell_angle_alpha 90.00
_cell_angle_beta 90.00
_cell_angle_gamma 90.00
_space_group_name_H-M_alt 'P m c 21'
_space_group_IT_number 26
loop_
_space_group_symop_operation_xyz
'x,y,z'
'-x,-y,z+1/2'
'-x,y,z'
'x,-y,z+1/2'
loop_
_atom_site_label
_atom_site_type_symbol
_atom_site_fract_x
_atom_site_fract_y
_atom_site_fract_z
_atom_site_occupancy
Sn1 Sn 0.000 0.167 0.000 1
Pt1 Pt 0.500 0.462 0.563 1
N1 N 0.500 0.273 0.854 1
O1 O 0.000 0.116 0.374 1
```

M_tot   0.0 μB/cell
Energy   -5.93 eV/atom

No. 2
A plane-wave DFT calculation with PBE-GGA was carried out for AcLuZn after structural relaxation.

```
data_AcLuZn
_cell_length_a 7.433
_cell_length_b 7.433
_cell_length_c 7.433
_cell_angle_alpha 90.00
_cell_angle_beta 90.00
_cell_angle_gamma 90.00
_space_group_name_H-M_alt 'F -4 3 m'
_space_group_IT_number 216
_space_group_name_Hall 'F -4 2 3'
loop_
_atom_site_label
_atom_site_type_symbol
_atom_site_fract_x
_atom_site_fract_y
_atom_site_fract_z
_atom_site_occupancy
Ac1 Ac 0.000 0.000 0.000 1
Lu1 Lu 0.250 0.250 0.750 1
Zn1 Zn 0.250 0.250 0.250 1
```

M_tot   0.0 μB/cell
Energy   -2.61 eV/atom

No. 3
A plane-wave DFT calculation with PBE-GGA was carried out for RbGdFeTe3 after structural relaxation.

```
data_RbGdFeTe3
_cell_length_a 10.783
_cell_length_b 4.509
_cell_length_c 16.448
_cell_angle_alpha 90.00
_cell_angle_beta 90.00
_cell_angle_gamma 90.00
_space_group_name_H-M_alt 'P n m a'
_space_group_IT_number 62
loop_
_space_group_symop_operation_xyz
'x,y,z'
'-x,-y,-z'
'-x+1/2,-y,z+1/2'
'x+1/2,y,-z+1/2'
'x+1/2,-y+1/2,-z+1/2'
'-x+1/2,y+1/2,z+1/2'
'-x,y+1/2,-z'
'x,-y+1/2,z'
loop_
_atom_site_label
_atom_site_type_symbol
_atom_site_fract_x
_atom_site_fract_y
_atom_site_fract_z
_atom_site_occupancy
Rb1 Rb 0.061 0.250 0.179 1
Gd1 Gd 0.170 0.750 0.442 1
Fe1 Fe 0.149 0.250 0.627 1
Te1 Te 0.020 0.750 0.607 1
Te2 Te 0.173 0.750 0.018 1
Te3 Te 0.205 0.250 0.779 1
```

M_tot   16.0 μB/cell
Energy   -4.70 eV/atom

No. 4
A plane-wave DFT calculation with PBE-GGA was carried out for Li4ReO4 after structural relaxation.

```
data_Li4ReO4
_cell_length_a 5.096
_cell_length_b 5.147
_cell_length_c 7.730
_cell_angle_alpha 71.99
_cell_angle_beta 84.19
_cell_angle_gamma 68.18
_space_group_name_H-M_alt 'P -1'
_space_group_IT_number 2
loop_
_space_group_symop_operation_xyz
'x,y,z'
'-x,-y,-z'
loop_
_atom_site_label
_atom_site_type_symbol
_atom_site_fract_x
_atom_site_fract_y
_atom_site_fract_z
_atom_site_occupancy
Li1 Li 0.215 0.328 0.266 1
Li2 Li 0.241 0.974 0.085 1
Li3 Li 0.243 0.555 0.927 1
Li4 Li 0.243 0.757 0.498 1
Re1 Re 0.249 0.141 0.701 1
O1 O 0.010 0.299 0.883 1
O2 O 0.019 0.906 0.702 1
O3 O 0.342 0.354 0.482 1
O4 O 0.484 0.806 0.893 1
```

M_tot   4.2 μB/cell
Energy   -5.97 eV/atom

No. 5
A plane-wave DFT calculation with PBE-GGA was carried out for PrY2Mg4Tl2 after structural relaxation.

```
data_PrY2Mg4Tl2
_cell_length_a 4.699
_cell_length_b 13.368
_cell_length_c 7.577
_cell_angle_alpha 90.00
_cell_angle_beta 90.00
_cell_angle_gamma 90.00
_space_group_name_H-M_alt 'A m m 2'
_space_group_IT_number 38
loop_
_space_group_symop_operation_xyz
'x,y,z'
'-x,-y,z'
'-x,y,z'
'x,-y,z'
'x,y+1/2,z+1/2'
'-x,-y+1/2,z+1/2'
'-x,y+1/2,z+1/2'
'x,-y+1/2,z+1/2'
loop_
_atom_site_label
_atom_site_type_symbol
_atom_site_fract_x
_atom_site_fract_y
_atom_site_fract_z
_atom_site_occupancy
Pr1 Pr 0.000 0.000 0.000 1
Y1 Y 0.000 0.217 0.645 1
Mg1 Mg 0.000 0.000 0.439 1
Mg2 Mg 0.500 0.000 0.675 1
Mg3 Mg 0.500 0.121 0.311 1
Tl1 Tl 0.500 0.170 0.928 1
```

M_tot   0.0 μB/cell
Energy   -3.45 eV/atom

No. 6
A plane-wave DFT calculation with PBE-GGA was carried out for CuMo2N after structural relaxation.

```
data_CuMo2N
_cell_length_a 8.637
_cell_length_b 4.990
_cell_length_c 14.060
_cell_angle_alpha 90.00
_cell_angle_beta 101.77
_cell_angle_gamma 90.00
_space_group_name_H-M_alt 'C 1 2/c 1'
_space_group_IT_number 15
loop_
_space_group_symop_operation_xyz
'x,y,z'
'-x,-y,-z'
'-x,y,-z+1/2'
'x,-y,z+1/2'
'x+1/2,y+1/2,z'
'-x+1/2,-y+1/2,-z'
'-x+1/2,y+1/2,-z+1/2'
'x+1/2,-y+1/2,z+1/2'
loop_
_atom_site_label
_atom_site_type_symbol
_atom_site_fract_x
_atom_site_fract_y
_atom_site_fract_z
_atom_site_occupancy
Cu1 Cu 0.000 0.189 0.250 1
Cu2 Cu 0.198 0.219 0.751 1
Mo1 Mo 0.048 0.416 0.893 1
Mo2 Mo 0.114 0.079 0.093 1
Mo3 Mo 0.217 0.085 0.407 1
N1 N 0.076 0.272 0.500 1
N2 N 0.250 0.250 0.000 1
```

M_tot   0.0 μB/cell
Energy   -8.40 eV/atom

> Look up the energy of the first one.

-5.93 eV/atom